Entry 1:
An optimized crystal structure of BeBSb, computed with GGA-PBE.

The calculation puts the total DFT energy (no corrections) at -27.267 eV per cell. As for the uncorrected formation energy: 298 meV/atom. The calculated density is 4.7 Mg/m³.

Lattice parameters (Å, degrees): 3.0209 5.3877 6.4355 77.96 84.88 77.14
Space group P-1 (No. 2)
Inequivalent atoms, fractional coordinates:
Be 0.1344 0.3052 0.4468
B 0.2699 0.9426 0.5154
Sb 0.0311 0.3058 0.8535


Entry 2:
An optimized crystal structure of YGa3O, computed with GGA-PBE.

The calculation puts the total DFT energy (no corrections) at -22.828 eV per cell. As for the uncorrected formation energy: -465 meV/atom. The calculated density is 5.7 Mg/m³.

Lattice parameters (Å, degrees): 4.5082 4.5082 4.5082 90.00 90.00 90.00
Space group Pm-3m (No. 221)
Inequivalent atoms, fractional coordinates:
Y 0.0000 0.0000 0.0000
Ga 0.0000 0.5000 0.5000
O 0.5000 0.5000 0.5000


Entry 3:
An optimized crystal structure of NdGdAlSn, computed with GGA-PBE.

The calculation puts the total DFT energy (no corrections) at -113.723 eV per cell. The calculated density is 6.9 Mg/m³. Its formation energy is -0.46 eV per atom.

Lattice parameters (Å, degrees): 7.5474 7.5474 7.5474 90.00 90.00 90.00
Space group F-43m (No. 216)
Inequivalent atoms, fractional coordinates:
Nd 0.0000 0.0000 0.0000
Gd 0.0000 0.0000 0.5000
Al 0.2500 0.2500 0.7500
Sn 0.2500 0.2500 0.2500